Below is an optimized crystal structure of MnFeO4, with properties calculated at the PBE+U level.

The calculation puts the total DFT energy (no corrections) at -6.45 eV per atom. For the density of states at the Fermi level, the calculation gives 11.73 states/eV per cell.

abc: 5.6887 5.8262 8.3956
angles: 90.00 90.00 90.00
With the nearest neighbours (Å) after each atom.
Space group Imma (No. 74)
Asymmetric unit:
Mn 0.0000 0.0000 0.0000 [4 per cell]  6 O 1.90-1.95
Fe 0.0000 0.2500 0.3625 [4 per cell]  4 O 1.83-1.92
O 0.0000 0.0038 0.2269 [8 per cell]  1 Fe 1.83, 1 Mn 1.90
O 0.2273 0.2500 0.0026 [8 per cell]  1 Fe 1.92, 2 Mn 1.95